Version 1
The following is a DFT calculation (PBE-GGA) of crystalline KZn2Ru at its relaxed geometry.

## Properties
For the mass density, the calculation gives 6270 kg/m³. The space group is P4/mmm.

```
4
Lattice="4.9943 0.0000 0.0000 0.0000 4.9943 0.0000 0.0000 0.0000 2.8771" Properties=species:S:1:pos:R:3 pbc="T T T"
K 0.0000 0.0000 0.0000
Zn 0.0000 2.4971 1.4385
Zn 2.4971 0.0000 1.4385
Ru 2.4971 2.4971 0.0000
```

Version 2
The following is a DFT calculation (PBE-GGA) of crystalline KZn2Ru at its relaxed geometry.

## Properties
For the mass density, the calculation gives 3911 kg/m³. The space group is I-42d.

```
8
Lattice="-2.6249 2.6249 8.3502 2.6249 -2.6249 8.3502 2.6249 2.6249 -8.3502" Properties=species:S:1:pos:R:3 pbc="T T T"
K 0.0000 0.0000 0.0000
K 0.0000 2.6249 4.1751
Zn 1.3124 2.6170 -2.0875
Zn 2.6327 1.3124 2.0875
Zn 1.3124 0.0078 6.2626
Zn -0.0078 1.3124 10.4377
Ru 2.6249 0.0000 4.1751
Ru 0.0000 0.0000 8.3502
```

Version 3
The following is a DFT calculation (PBE-GGA) of crystalline KZn2Ru at its relaxed geometry.

## Properties
For the mass density, the calculation gives 6066 kg/m³. The space group is F-43m.

```
4
Lattice="0.0000 3.3349 3.3349 3.3349 0.0000 3.3349 3.3349 3.3349 0.0000" Properties=species:S:1:pos:R:3 pbc="T T T"
K 0.0000 0.0000 0.0000
Zn 1.6674 1.6674 1.6674
Zn 3.3349 3.3349 3.3349
Ru 5.0023 5.0023 5.0023
```

Energetically preferred structure: version 1 | next structure: +0.045 eV/atom

Version 1
The following is a DFT calculation (PBE-GGA) of crystalline KZn2Ru at its relaxed geometry.

## Properties
For the mass density, the calculation gives 4944 kg/m³. The space group is Cm.

```
4
Lattice="4.5143 -1.3863 0.0000 4.5143 1.3863 0.0000 -0.6725 0.0000 7.2724" Properties=species:S:1:pos:R:3 pbc="T T T"
K 0.0000 0.0000 0.0000
Zn 1.6800 0.0000 4.6714
Zn 4.2123 0.0000 3.1383
Ru 6.6512 0.0000 2.5745
```

Version 2
The following is a DFT calculation (PBE-GGA) of crystalline KZn2Ru at its relaxed geometry.

## Properties
For the mass density, the calculation gives 5922 kg/m³. The space group is Imm2.

```
4
Lattice="-1.3647 2.6033 5.3468 1.3647 -2.6033 5.3468 1.3647 2.6033 -5.3468" Properties=species:S:1:pos:R:3 pbc="T T T"
K 0.0000 0.0000 0.0000
Zn 0.0000 0.0000 5.1131
Zn 0.0000 2.6033 2.2716
Ru 1.3647 0.0000 2.9695
```

Energetically preferred structure: version 1 | next structure: +0.126 eV/atom